[1]
Computed, not measured: an optimized crystal structure of La2Ag2Br at the GGA-PBE level of DFT.

The space group is P4/mbm (No. 127) and the conventional cell measures 8.6062, 8.6062 and 3.8952 Å, with angles of 90.00, 90.00 and 90.00 degrees. Symmetry generates all atoms from La at (0.1710, 0.3290, 0.0000), Ag at (0.1200, 0.6200, 0.5000) and Br at (0.0000, 0.0000, 0.5000).

The calculation puts the energy above the most stable polymorph in this dataset at 133.0 meV per atom.

---

[2]
Computed, not measured: an optimized crystal structure of BeRu2Pb at the GGA-PBE level of DFT.

The space group is Immm (No. 71) and the conventional cell measures 3.1018, 4.7064 and 8.1807 Å, with angles of 90.00, 90.00 and 90.00 degrees. Symmetry generates all atoms from Be at (0.0000, 0.0000, 0.0000), Ru at (0.0000, 0.5000, 0.2913) and Pb at (0.0000, 0.0000, 0.5000).

The calculation puts the energy above the most stable polymorph in this dataset at 52.2 meV per atom. The formation energy is 0.343 eV per atom.

---

[3]
Computed, not measured: an optimized crystal structure of HoMg2ZnHg4 at the GGA-PBE level of DFT.

The space group is R-3m (No. 166, hexagonal axes) and the conventional cell measures 4.8906, 4.8906 and 25.5372 Å, with angles of 90.00, 90.00 and 120.00 degrees. Symmetry generates all atoms from Ho at (0.0000, 0.0000, 0.0000), Mg at (0.0000, 0.0000, 0.2469), Zn at (0.0000, 0.0000, 0.5000), Hg at (0.0000, 0.0000, 0.1264) and Hg at (0.0000, 0.0000, 0.3811).

The formation energy is -0.228 eV per atom.

---

[4]
Computed, not measured: an optimized crystal structure of KBeAu at the GGA-PBE level of DFT.

The space group is P-6m2 (No. 187) and the conventional cell measures 3.9787, 3.9787 and 5.4393 Å, with angles of 90.00, 90.00 and 120.00 degrees. Symmetry generates all atoms from K at (0.0000, 0.0000, 0.0000), Be at (0.3333, 0.6667, 0.5000) and Au at (0.6667, 0.3333, 0.5000).

The calculation puts the energy above the most stable polymorph in this dataset at 83.9 meV per atom. The formation energy is 0.036 eV per atom.

---

[5]
Computed, not measured: an optimized crystal structure of Tl3In2Br5 at the GGA-PBE level of DFT.

The space group is C2/m (No. 12) and the conventional cell measures 15.7665, 4.7620 and 11.6090 Å, with angles of 90.00, 119.33 and 90.00 degrees. Symmetry generates all atoms from Tl at (0.0000, 0.0000, 0.0000), Tl at (0.2017, 0.0000, 0.7996), In at (0.0991, 0.5000, 0.4005), Br at (0.0000, 0.0000, 0.5000), Br at (0.0994, 0.5000, 0.8982) and Br at (0.1993, 0.0000, 0.3028).

The value obtained for the total energy is -2.8697 eV/atom.

---

[6]
Computed, not measured: an optimized crystal structure of Be4AgAs at the GGA-PBE level of DFT.

The space group is F-43m (No. 216) and the conventional cell measures 6.5576, 6.5576 and 6.5576 Å, with angles of 90.00, 90.00 and 90.00 degrees. Symmetry generates all atoms from Be at (0.1246, 0.1246, 0.1246), Ag at (0.2500, 0.2500, 0.7500) and As at (0.0000, 0.0000, 0.5000).

The formation energy is 0.311 eV per atom.